Entry from the Alexandria database: CdFeCl2 after structural relaxation (GGA-PBE).

a = 6.3105 Å, b = 6.3105 Å, c = 6.0162 Å
α = 61.65°, β = 61.65°, γ = 29.23°
Site moments in Bohr magnetons follow the coordinates.
Sites, in units of the cell vectors:
Cl  0.5874  0.5874  0.4124  0.12
Cl  0.9126  0.9126  0.0876  0.12
Cd  0.7500  0.7500  0.7500  0.02
Fe  0.2500  0.2500  0.2500  3.32

Summary:
- D(E_F) (states/eV/f.u.) = 2.17
- calculated volume (Å³/cell) = 101.9
- E_tot (eV per cell) = -14.396
- space-group type = C2/m, No. 12



Entry from the Alexandria database: Cd2FeCl after structural relaxation (GGA-PBE).

a = 3.1116 Å, b = 3.1116 Å, c = 7.9660 Å
α = 90.00°, β = 90.00°, γ = 90.00°
Site moments in Bohr magnetons follow the coordinates.
Sites, in units of the cell vectors:
Cl  0.5000  0.5000  0.2500  -0.01
Cd  0.0000  0.0000  0.9766  -0.03
Cd  0.0000  0.0000  0.5234  -0.03
Fe  0.5000  0.5000  0.7500  2.63

Summary:
- D(E_F) (states/eV/f.u.) = 2.37
- calculated volume (Å³/cell) = 77.1
- E_tot (eV per cell) = -11.876
- space-group type = P4/mmm, No. 123



Entry from the Alexandria database: CdFeCl2 after structural relaxation (GGA-PBE).

a = 8.8552 Å, b = 8.8552 Å, c = 8.8552 Å
α = 22.66°, β = 22.66°, γ = 22.66°
Site moments in Bohr magnetons follow the coordinates.
Sites, in units of the cell vectors:
Cl  0.9786  0.9786  0.9786  -0.01
Cl  0.7798  0.7798  0.7798  0.14
Cd  0.2449  0.2449  0.2449  -0.03
Fe  0.4967  0.4967  0.4967  3.12

Summary:
- D(E_F) (states/eV/f.u.) = 4.71
- calculated volume (Å³/cell) = 90.4
- E_tot (eV per cell) = -14.468
- space-group type = R3m, No. 160



Entry from the Alexandria database: CdFeCl after structural relaxation (GGA-PBE).

a = 3.2168 Å, b = 3.2168 Å, c = 6.5201 Å
α = 90.00°, β = 90.00°, γ = 120.00°
Site moments in Bohr magnetons follow the coordinates.
Sites, in units of the cell vectors:
Cd  0.0000  0.0000  0.9545  -0.03
Fe  0.3333  0.6667  0.6378  2.95
Cl  0.6667  0.3333  0.4077  0.12

Summary:
- D(E_F) (states/eV/f.u.) = 1.08
- calculated volume (Å³/cell) = 58.4
- E_tot (eV per cell) = -11.381
- space-group type = P3m1, No. 156



Number 1: total moment 3.75 μB/cell, formation energy (no corrections) -331 meV per atom, calculated density 3.90 g cm⁻³. Number 2: total moment 2.52 μB/cell, formation energy (no corrections) 66 meV per atom, calculated density 6.81 g cm⁻³. Number 3: total moment 3.28 μB/cell, formation energy (no corrections) -349 meV per atom, calculated density 4.39 g cm⁻³. Number 4: total moment 3.03 μB/cell, formation energy (no corrections) -52 meV per atom, calculated density 5.79 g cm⁻³.